VASP calculation (GGA-PBE) on a geometry-optimized GdMgPd structure.

The energy comes out at -4.34 eV per atom. As for the total magnetic moment: 0.001 μB/atom. As for the theoretical density: 7.32 g/cm³.

The space group is P6_3mc (No. 186) and the conventional cell measures 4.7098, 4.7098 and 6.7979 Å, with angles of 90.00, 90.00 and 120.00 degrees. The distinct sites, in fractional coordinates, are Gd at (0.0000, 0.0000, 0.0000), Mg at (0.3333, 0.6667, 0.2547) and Pd at (0.3333, 0.6667, 0.7371).

VASP calculation (GGA-PBE) on a geometry-optimized GdMgPd structure.

The energy comes out at -4.21 eV per atom. As for the total magnetic moment: 0.000 μB/atom. As for the theoretical density: 7.38 g/cm³.

The space group is P-62m (No. 189) and the conventional cell measures 7.0895, 7.0895 and 4.4685 Å, with angles of 90.00, 90.00 and 120.00 degrees. The distinct sites, in fractional coordinates, are Gd at (0.0000, 0.5534, 0.0000), Mg at (0.0000, 0.0000, 0.0000), Mg at (0.3333, 0.6667, 0.5000) and Pd at (0.0000, 0.2459, 0.5000).